DyNpOs after structural relaxation, computed with PBE.

Cell: 3.7445 3.7445 11.9830 Å, 98.99 98.99 90.00°
Fractional positions:
Dy 0.0770 0.0770 0.1539
Dy 0.9230 0.9230 0.8461
Np 0.6777 0.6777 0.3555
Np 0.3223 0.3223 0.6445
Os 0.8029 0.8029 0.6059
Os 0.1971 0.1971 0.3941

SG: No. 139
ΔH_f (0 K) in meV per atom: 389
DOS at the Fermi energy in states/eV/f.u.: 7.36

***

DyNpOs2 after structural relaxation, computed with PBE.

Cell: 3.3031 3.3031 7.1800 Å, 90.00 90.00 90.00°
Fractional positions:
Np 0.5000 0.5000 0.0000
Os 0.0000 0.0000 0.7714
Os 0.0000 0.0000 0.2286
Dy 0.5000 0.5000 0.5000

Offset from the most stable computed form in meV/atom: 0
SG: No. 123
ΔH_f (0 K) in meV per atom: -16
DOS at the Fermi energy in states/eV/f.u.: 3.88

***

DyNpOs4 after structural relaxation, computed with PBE.

Cell: 5.3449 5.3449 5.3449 Å, 60.00 60.00 60.00°
Fractional positions:
Np 0.2500 0.2500 0.2500
Os 0.6250 0.6250 0.1249
Os 0.6250 0.1249 0.6250
Os 0.6250 0.6250 0.6250
Os 0.1249 0.6250 0.6250
Dy 0.0000 0.0000 0.0000

SG: No. 216
ΔH_f (0 K) in meV per atom: -119
DOS at the Fermi energy in states/eV/f.u.: 10.19

***

DyNpOsRu after structural relaxation, computed with PBE.

Cell: 4.7900 4.7900 4.7900 Å, 60.00 60.00 60.00°
Fractional positions:
Np 0.7500 0.7500 0.7500
Ru 0.0000 0.0000 0.0000
Os 0.5000 0.5000 0.5000
Dy 0.2500 0.2500 0.2500

SG: No. 216
ΔH_f (0 K) in meV per atom: -83
DOS at the Fermi energy in states/eV/f.u.: 4.95

***

DyNpP2 after structural relaxation, computed with PBE.

Cell: 3.9768 3.9768 6.8922 Å, 73.23 73.23 60.00°
Fractional positions:
Np 0.0000 0.0000 0.0000
P 0.7478 0.7478 0.7565
P 0.2522 0.2522 0.2435
Dy 0.5000 0.5000 0.5000

Offset from the most stable computed form in meV/atom: 2
SG: No. 166
ΔH_f (0 K) in meV per atom: -1239
DOS at the Fermi energy in states/eV/f.u.: 8.43

***

DyNpP after structural relaxation, computed with PBE.

Cell: 3.3701 3.4815 11.6609 Å, 90.00 98.31 90.00°
Fractional positions:
P 0.6581 0.7500 0.3162
P 0.3419 0.2500 0.6838
Dy 0.5678 0.2500 0.1357
Dy 0.4322 0.7500 0.8643
Np 0.7724 0.7500 0.5447
Np 0.2276 0.2500 0.4553

SG: No. 63
ΔH_f (0 K) in meV per atom: -370
DOS at the Fermi energy in states/eV/f.u.: 4.23